{"formula": "CrCo2GeO6", "functional": "PBE with a Hubbard U", "state": "relaxed", "lattice": [[2.492, 1.439, 4.550], [-2.492, 1.439, 4.550], [0.000, -2.878, 4.550]], "species": ["Cr", "Co", "Co", "Ge", "O", "O", "O", "O", "O", "O"], "frac_coords": [[0.000, 0.000, 0.000], [0.288, 0.288, 0.288], [0.804, 0.804, 0.804], [0.492, 0.492, 0.492], [0.093, 0.707, 0.410], [0.207, 0.607, 0.868], [0.410, 0.093, 0.707], [0.607, 0.868, 0.207], [0.707, 0.410, 0.093], [0.868, 0.207, 0.607]], "space_group": "R3, No. 146", "total_magnetization_mub_per_fu": 6.0, "total_energy_ev_per_atom": -6.63, "dos_at_fermi_per_ev_cell": 0.00}